Version 1
# MgSeBr2

MgSeBr2 after structural relaxation (GGA-PBEsol, the Alexandria database).

Unit cell a=3.8557 b=3.8557 c=7.7292 alpha=90.00 beta=90.00 gamma=90.00
Space group P4mm (No. 99)
Asymmetric unit:
Mg  0.0000  0.0000  0.0000 x1
Se  0.5000  0.5000  0.9326 x1
Br  0.0000  0.0000  0.3064 x1
Br  0.5000  0.5000  0.6262 x1

Output
* V: 28.726 Å³ per atom

Version 2
# MgSeBr2

MgSeBr2 after structural relaxation (GGA-PBEsol, the Alexandria database).

Unit cell a=10.0425 b=3.7558 c=5.5001 alpha=90.00 beta=102.96 gamma=90.00
Space group Cm (No. 8)
Asymmetric unit:
Mg  0.0000  0.0000  0.0000 x2
Se  0.1311  0.5000  0.3030 x2
Br  0.2859  0.0000  0.9339 x2
Br  0.4733  0.0000  0.5739 x2

Output
* V: 25.271 Å³ per atom

Version 3
# MgSeBr2

MgSeBr2 after structural relaxation (GGA-PBEsol, the Alexandria database).

Unit cell a=3.2215 b=3.2215 c=10.2961 alpha=90.00 beta=90.00 gamma=90.00
Space group P4/mmm (No. 123)
Asymmetric unit:
Mg  0.0000  0.0000  0.0000 x1
Se  0.0000  0.0000  0.5000 x1
Br  0.5000  0.5000  0.1591 x2

Output
* V: 26.714 Å³ per atom

version 2 comes first in stability; the runner-up is 101 meV/atom higher.